No. 1
The following is a PBE calculation of a geometry-optimized Ho4MgZn2Ru structure, from Alexandria.

abc: 5.0355 5.0355 24.6696
angles: 90.00 90.00 120.00
Closest atoms and distances in Å follow each position.
Space group R-3m (No. 166, hexagonal axes)
Symmetry-distinct sites (fractional):
Ho 0.0000 0.0000 0.1141 [6 per cell]  1 Ru 2.82, 4 Zn 2.95-3.11
Ho 0.0000 0.0000 0.3672 [6 per cell]  3 Ru 3.03, 4 Zn 3.13-3.25, 1 Mg 3.28, 3 Ho 3.35
Mg 0.0000 0.0000 0.5000 [3 per cell]  8 Ho 3.18-3.28, 6 Zn 3.43
Zn 0.0000 0.0000 0.2403 [6 per cell]  8 Ho 2.95-3.25
Ru 0.0000 0.0000 0.0000 [3 per cell]  8 Ho 2.82-3.03

Computed properties:
Total DFT energy (no corrections) (eV per atom): -4.288
Crystal system: trigonal

No. 2
The following is a PBE calculation of a geometry-optimized W2Br13 structure, from Alexandria.

abc: 6.9036 9.4923 9.9732
angles: 107.35 103.10 105.01
Closest atoms and distances in Å follow each position.
Space group P-1 (No. 2)
Symmetry-distinct sites (fractional):
W 0.2191 0.3642 0.2150 [2 per cell]  5 Br 2.40-2.52
Br 0.0181 0.5256 0.3122 [2 per cell]  1 W 2.46
Br 0.0334 0.1591 0.2998 [2 per cell]  1 W 2.52
Br 0.0333 0.7612 0.0326 [2 per cell]  1 W 2.40
Br 0.3626 0.0417 0.4474 [2 per cell]  1 Br 2.39
Br 0.4346 0.5824 0.1684 [2 per cell]  1 W 2.45
Br 0.4522 0.2148 0.1594 [2 per cell]  1 W 2.45
Br 0.5000 0.5000 0.5000 [1 per cell]  2 W 2.74

Computed properties:
Uncorrected formation energy (eV/atom): -0.351
Crystal system: triclinic

No. 3
The following is a PBE calculation of a geometry-optimized Ba2Mg4Tl3Sn structure, from Alexandria.

abc: 5.0244 5.0244 12.1171
angles: 90.00 90.00 90.00
Closest atoms and distances in Å follow each position.
Space group P-4m2 (No. 115)
Symmetry-distinct sites (fractional):
Ba 0.0000 0.5000 0.2456 [2 per cell]  8 Mg 3.82-3.98, 6 Tl 3.85-3.89, 2 Sn 3.89
Mg 0.0000 0.0000 0.5000 [1 per cell]  4 Tl 2.98
Mg 0.0000 0.5000 0.8695 [2 per cell]  3 Tl 2.88-2.97, 2 Sn 2.97
Mg 0.5000 0.5000 0.5000 [1 per cell]  4 Tl 2.98
Tl 0.0000 0.0000 0.0000 [1 per cell]  4 Mg 2.97
Tl 0.0000 0.5000 0.6318 [2 per cell]  5 Mg 2.88-2.98
Sn 0.5000 0.5000 0.0000 [1 per cell]  4 Mg 2.97

Computed properties:
Total DFT energy (no corrections) (eV per atom): -2.428
Crystal system: tetragonal

No. 4
The following is a PBE calculation of a geometry-optimized Ac12Ga6Ru structure, from Alexandria.

abc: 13.8819 13.8819 13.1386
angles: 90.00 90.00 120.00
Closest atoms and distances in Å follow each position.
Space group R-3 (No. 148, hexagonal axes)
Symmetry-distinct sites (fractional):
Ac 0.0335 0.2101 0.3951 [18 per cell]  4 Ga 3.17-3.36
Ac 0.0539 0.1981 0.8816 [18 per cell]  1 Ru 2.91, 1 Ga 3.24
Ga 0.0527 0.2779 0.6426 [18 per cell]  7 Ac 3.17-3.48
Ru 0.0000 0.0000 0.0000 [3 per cell]  6 Ac 2.91

Computed properties:
Total DFT energy (no corrections) (eV per atom): -4.229
Crystal system: trigonal

No. 5
The following is a PBE calculation of a geometry-optimized Nd3Dy6Mg structure, from Alexandria.

abc: 12.0539 6.6067 8.6822
angles: 90.00 107.47 90.00
Closest atoms and distances in Å follow each position.
Space group C2/m (No. 12)
Symmetry-distinct sites (fractional):
Nd 0.0000 0.0000 0.0000 [2 per cell]  4 Dy 3.25, 2 Nd 3.39
Nd 0.1057 0.0000 0.6797 [4 per cell]  4 Dy 3.33-3.55, 2 Nd 3.39, 2 Mg 3.71
Dy 0.1516 0.5000 0.9131 [4 per cell]  1 Mg 3.50, 3 Nd 3.83-3.85, 4 Dy 3.85-3.87
Dy 0.1530 0.2508 0.3143 [8 per cell]  1 Mg 3.24, 3 Nd 3.25-3.55, 3 Dy 3.29-3.37
Mg 0.0000 0.5000 0.5000 [2 per cell]  6 Dy 3.24-3.50

Computed properties:
Total DFT energy (no corrections) (eV per atom): -4.131
Crystal system: monoclinic

No. 6
The following is a PBE calculation of a geometry-optimized LiAl3Cu structure, from Alexandria.

abc: 4.6043 4.6043 4.6043
angles: 90.00 90.00 90.00
Closest atoms and distances in Å follow each position.
Space group Pm-3m (No. 221)
Symmetry-distinct sites (fractional):
Li 0.0000 0.0000 0.0000 [1 per cell]  12 Al 3.26
Al 0.0000 0.5000 0.5000 [3 per cell]  2 Cu 2.30
Cu 0.5000 0.5000 0.5000 [1 per cell]  6 Al 2.30

Computed properties:
Total DFT energy (no corrections) (eV per atom): -3.241
Crystal system: cubic